The following is a DFT calculation (GGA-PBE) of crystalline GdZrN2 at its relaxed geometry.

Cell lengths 3.3779, 3.3779, 4.7549 Å; angles 90.00, 90.00, 90.00 degrees
With the nearest neighbours (Å) after each atom.
Atoms (fractional coordinates):
Gd 0.0000 0.0000 0.0000  6 N 2.38-2.39
N 0.5000 0.5000 0.0000  2 Zr 2.38, 4 Gd 2.39
N 0.0000 0.0000 0.5000  2 Gd 2.38, 4 Zr 2.39
Zr 0.5000 0.5000 0.5000  6 N 2.38-2.39

Values from the calculation:
Crystal system: tetragonal
Space group: No. 123
Final energy, eV/atom: -9.068